DFT (PBE) results for LuPPbO after structural relaxation.

Structure (POSCAR):
```
LuPPbO
1.0
4.2258 0.0000 0.0000
0.0000 4.2258 0.0000
0.0000 0.0000 9.1985
P Pb Lu O
2 2 2 2
Direct
0.2500 0.2500 0.7351 P
0.7500 0.7500 0.2649 P
0.7500 0.2500 0.5000 Pb
0.2500 0.7500 0.5000 Pb
0.2500 0.2500 0.0860 Lu
0.7500 0.7500 0.9140 Lu
0.2500 0.7500 0.0000 O
0.7500 0.2500 0.0000 O
```

Calculated values
E	-5.942	eV/atom
spin magnetization	0.00	μB/f.u.
offset from the most stable computed form	138	meV per atom
SG	P4/nmm

DFT (PBE) results for LuPPbO after structural relaxation.

Structure (POSCAR):
```
LuPPbO
1.0
3.8951 0.0000 0.0000
0.0000 8.4319 0.0000
0.0000 0.0000 5.7367
O P Lu Pb
2 2 2 2
Direct
0.5000 0.2486 0.8955 O
0.5000 0.7514 0.3955 O
0.0000 0.3380 0.4155 P
0.0000 0.6620 0.9155 P
0.0000 0.3437 0.9287 Lu
0.0000 0.6563 0.4287 Lu
0.5000 0.1325 0.5143 Pb
0.5000 0.8675 0.0143 Pb
```

Calculated values
E	-6.081	eV/atom
spin magnetization	0.00	μB/f.u.
offset from the most stable computed form	0	meV per atom
SG	Pmc2_1

DFT (PBE) results for LuPPdO after structural relaxation.

Structure (POSCAR):
```
LuPPdO
1.0
5.2366 0.0000 0.0000
0.0000 5.2366 0.0000
0.0000 0.0000 4.5654
O Lu P Pd
2 2 2 2
Direct
0.5000 0.0000 0.0000 O
0.0000 0.5000 0.0000 O
0.5000 0.0000 0.5000 Lu
0.0000 0.5000 0.5000 Lu
0.0000 0.0000 0.5013 P
0.5000 0.5000 0.4987 P
0.5000 0.5000 0.9988 Pd
0.0000 0.0000 0.0012 Pd
```

Calculated values
E	-6.095	eV/atom
spin magnetization	0.00	μB/f.u.
offset from the most stable computed form	784	meV per atom
SG	P4/nmm

DFT (PBE) results for LuPPdO after structural relaxation.

Structure (POSCAR):
```
LuPPdO
1.0
3.4688 0.0000 0.0000
0.0000 7.5315 0.0000
0.0000 0.0000 5.4015
Lu Pd O P
2 2 2 2
Direct
0.0000 0.2743 0.4292 Lu
0.0000 0.7257 0.9292 Lu
0.5000 0.7153 0.4334 Pd
0.5000 0.2847 0.9334 Pd
0.5000 0.4147 0.4618 O
0.5000 0.5853 0.9618 O
0.0000 0.9125 0.4296 P
0.0000 0.0875 0.9296 P
```

Calculated values
E	-6.423	eV/atom
spin magnetization	0.00	μB/f.u.
offset from the most stable computed form	456	meV per atom
SG	Pmc2_1